# 1
A relaxed Tb4Pr4Y crystal, computed with GGA-PBE.

abc: 8.124 8.124 8.124
angles: 95.71 95.71 143.22
Fractional positions:
Tb (0.000, 0.335, 0.335)
Tb (0.000, 0.665, 0.665)
Tb (0.335, 0.000, 0.335)
Tb (0.665, 0.000, 0.665)
Pr (0.333, 0.333, 0.666)
Pr (0.333, 0.667, 0.000)
Pr (0.667, 0.333, 0.000)
Pr (0.667, 0.667, 0.334)
Y (0.000, 0.000, 0.000)

Calculated values
**Energy of formation**: 0.1 eV per formula unit
**Crystal system**: tetragonal
**Space group**: I4/mmm, No. 139
**Total DFT energy (no corrections)**: -4.884 eV/atom


# 2
A relaxed Tb7Pr2Y3 crystal, computed with GGA-PBE.

abc: 5.828 3.620 18.863
angles: 90.00 93.62 90.00
Fractional positions:
Tb (0.000, 0.000, 0.000)
Tb (0.182, 0.500, 0.174)
Tb (0.258, 0.500, 0.538)
Tb (0.319, 0.000, 0.858)
Tb (0.681, 0.000, 0.142)
Tb (0.742, 0.500, 0.462)
Tb (0.818, 0.500, 0.826)
Pr (0.295, 0.500, 0.706)
Pr (0.705, 0.500, 0.294)
Y (0.220, 0.000, 0.370)
Y (0.500, 0.500, 0.000)
Y (0.780, 0.000, 0.630)

Calculated values
**Energy of formation**: 1.0 eV per formula unit
**Crystal system**: monoclinic
**Space group**: P2/m, No. 10
**Total DFT energy (no corrections)**: -5.030 eV/atom
**Relative energy among the computed polymorphs**: 0.011 eV/atom